Entry 1:
# TlIn6Hg6 (PBE-GGA, optimized geometry)
# DFT formation energy   0.0358 eV per atom
# Relative energy among the computed polymorphs   0 meV/atom
# Spin magnetization   0.0 μB/f.u.
data_TlIn6Hg6
_chemical_formula_sum 'Tl2 In12 Hg12'
_symmetry_space_group_name_H-M 'I m m m'
_symmetry_Int_Tables_number 71
_symmetry_space_group_name_Hall '-I 2 2'
_cell_length_a 6.317
_cell_length_b 9.852
_cell_length_c 11.812
_cell_angle_alpha 90.00
_cell_angle_beta 90.00
_cell_angle_gamma 90.00
loop_
_atom_site_label
_atom_site_type_symbol
_atom_site_fract_x
_atom_site_fract_y
_atom_site_fract_z
Tl1 Tl 0.000 0.000 0.000
In1 In 0.000 0.249 0.500
In2 In 0.250 0.250 0.250
Hg1 Hg 0.000 0.000 0.337
Hg2 Hg 0.000 0.345 0.000
Hg3 Hg 0.000 0.500 0.338

***

Entry 2:
# Pm3NdY6Tm2 (PBE-GGA, optimized geometry)
# DFT formation energy   0.0180 eV per atom
# Spin magnetization   0.0 μB/f.u.
data_Pm3NdY6Tm2
_chemical_formula_sum 'Pm6 Nd2 Y12 Tm4'
_symmetry_space_group_name_H-M 'C 1 2/m 1'
_symmetry_Int_Tables_number 12
_symmetry_space_group_name_Hall '-C 2y'
_cell_length_a 6.214
_cell_length_b 10.758
_cell_length_c 11.865
_cell_angle_alpha 90.00
_cell_angle_beta 100.02
_cell_angle_gamma 90.00
loop_
_atom_site_label
_atom_site_type_symbol
_atom_site_fract_x
_atom_site_fract_y
_atom_site_fract_z
Pm1 Pm 0.000 0.000 0.000
Pm2 Pm 0.000 0.333 0.000
Nd1 Nd 0.000 0.500 0.500
Y1 Y 0.249 0.000 0.748
Y2 Y 0.250 0.167 0.252
Tm1 Tm 0.000 0.167 0.500

***

Entry 3:
# Sr2TbO3 (PBE-GGA, optimized geometry)
# Formation energy (no corrections)   -2726.5 meV/atom
# Spin magnetization   0.0 μB/f.u.
data_Sr2TbO3
_chemical_formula_sum 'Sr4 Tb2 O6'
_symmetry_space_group_name_H-M 'I m m m'
_symmetry_Int_Tables_number 71
_symmetry_space_group_name_Hall '-I 2 2'
_cell_length_a 3.559
_cell_length_b 5.055
_cell_length_c 10.830
_cell_angle_alpha 90.00
_cell_angle_beta 90.00
_cell_angle_gamma 90.00
loop_
_atom_site_label
_atom_site_type_symbol
_atom_site_fract_x
_atom_site_fract_y
_atom_site_fract_z
Sr1 Sr 0.000 0.000 0.168
Tb1 Tb 0.000 0.000 0.500
O1 O 0.000 0.500 0.147
O2 O 0.000 0.500 0.500